First-principles (PBE) data for an optimized crystal structure of IrSF, as listed in Alexandria via LeMat-Bulk.

The value obtained for the formation energy (no corrections) is -260 meV/atom. The energy above the most stable polymorph in this dataset is 0.5612 eV/atom. As for the space group: Pmm2, No. 25.

Unit cell a=2.7370 b=4.4326 c=4.1784 alpha=90.00 beta=90.00 gamma=90.00
Fractional coordinates of all 3 atoms:
Ir 0.0000 0.0000 0.0000
S 0.0000 0.5000 0.9121
F 0.0000 0.0000 0.4822

---

First-principles (PBE) data for an optimized crystal structure of CsBa2NaIr, as listed in Alexandria via LeMat-Bulk.

The energy above the most stable polymorph in this dataset is 0.0000 eV/atom. As for the space group: P4/mmm, No. 123.

Unit cell a=6.1091 b=6.1091 c=6.9439 alpha=90.00 beta=90.00 gamma=90.00
Fractional coordinates of all 5 atoms:
Cs 0.0000 0.0000 0.0000
Ba 0.0000 0.5000 0.5000
Ba 0.5000 0.0000 0.5000
Na 0.5000 0.5000 0.0000
Ir 0.0000 0.0000 0.5000

---

First-principles (PBE) data for an optimized crystal structure of Zr2ScSb, as listed in Alexandria via LeMat-Bulk.

The value obtained for the formation energy (no corrections) is -450 meV/atom. As for the space group: P4/mmm, No. 123.

Unit cell a=4.2923 b=4.2923 c=4.7974 alpha=90.00 beta=90.00 gamma=90.00
Fractional coordinates of all 4 atoms:
Zr 0.0000 0.5000 0.0000
Zr 0.5000 0.0000 0.0000
Sc 0.0000 0.0000 0.5000
Sb 0.5000 0.5000 0.5000

---

First-principles (PBE) data for an optimized crystal structure of Mg2B2As, as listed in Alexandria via LeMat-Bulk.

The energy above the most stable polymorph in this dataset is 0.4702 eV/atom. As for the space group: P4/mbm, No. 127.

Unit cell a=7.2512 b=7.2512 c=2.7522 alpha=90.00 beta=90.00 gamma=90.00
Fractional coordinates of all 10 atoms:
Mg 0.1354 0.3646 0.0000
Mg 0.3646 0.8646 0.0000
Mg 0.6354 0.1354 0.0000
Mg 0.8646 0.6354 0.0000
B 0.1690 0.6690 0.5000
B 0.3310 0.1690 0.5000
B 0.6690 0.8310 0.5000
B 0.8310 0.3310 0.5000
As 0.0000 0.0000 0.0000
As 0.5000 0.5000 0.0000

---

no.,E (eV per atom)
1,-5.21
2,-2.84
3,-7.34
4,-3.31